LiLa2Al12Co3: relaxed, PBE.

Geometry as CIF:
```
data_LiLa2Al12Co3
_chemical_formula_sum 'Li3 La6 Al36 Co9'
_space_group_name_H-M_alt 'R -3 m'
_space_group_IT_number 166
_space_group_name_Hall '-R 3 2"'
_cell_length_a 8.4817
_cell_length_b 8.4817
_cell_length_c 18.8500
_cell_angle_alpha 90.00
_cell_angle_beta 90.00
_cell_angle_gamma 120.00
loop_
_atom_site_label
_atom_site_fract_x
_atom_site_fract_y
_atom_site_fract_z
Li1 0.0000 0.0000 0.0000
La1 0.0000 0.0000 0.4180
Al1 0.0839 0.5420 0.3831
Al2 0.1020 0.5510 0.8117
Co1 0.0000 0.5000 0.5000
```

Output
Formation enthalpy at 0 K in meV/atom: 67

---

TcBr: relaxed, PBE.

Geometry as CIF:
```
data_TcBr
_chemical_formula_sum 'Tc4 Br4'
_space_group_name_H-M_alt 'I m m a'
_space_group_IT_number 74
_space_group_name_Hall '-I 2b 2'
_cell_length_a 3.1659
_cell_length_b 3.3878
_cell_length_c 17.7018
_cell_angle_alpha 90.00
_cell_angle_beta 90.00
_cell_angle_gamma 90.00
loop_
_atom_site_label
_atom_site_fract_x
_atom_site_fract_y
_atom_site_fract_z
Tc1 0.0000 0.2500 0.0437
Br1 0.0000 0.2500 0.6405
```

Output
Raw formation energy in meV/atom: 332
Polymorph energy (0 for the lowest one) in eV/atom: 0.2887

---

Tb5Sn2Ir: relaxed, PBE.

Geometry as CIF:
```
data_Tb5Sn2Ir
_chemical_formula_sum 'Tb20 Sn8 Ir4'
_space_group_name_H-M_alt 'C m c m'
_space_group_IT_number 63
_space_group_name_Hall '-C 2c 2'
_cell_length_a 5.8918
_cell_length_b 9.9155
_cell_length_c 15.6719
_cell_angle_alpha 90.00
_cell_angle_beta 90.00
_cell_angle_gamma 90.00
loop_
_atom_site_label
_atom_site_fract_x
_atom_site_fract_y
_atom_site_fract_z
Tb1 0.0000 0.0768 0.1137
Tb2 0.0000 0.2505 0.7500
Tb3 0.0000 0.4205 0.1182
Sn1 0.0000 0.2526 0.5528
Ir1 0.0000 0.2445 0.2500
```

Output
Formation enthalpy at 0 K in meV/atom: -441

---

LiTaAl4: relaxed, PBE.

Geometry as CIF:
```
data_LiTaAl4
_chemical_formula_sum 'Li4 Ta4 Al16'
_space_group_name_H-M_alt 'F -4 3 m'
_space_group_IT_number 216
_space_group_name_Hall 'F -4 2 3'
_cell_length_a 7.3476
_cell_length_b 7.3476
_cell_length_c 7.3476
_cell_angle_alpha 90.00
_cell_angle_beta 90.00
_cell_angle_gamma 90.00
loop_
_atom_site_label
_atom_site_fract_x
_atom_site_fract_y
_atom_site_fract_z
Li1 0.0000 0.0000 0.0000
Ta1 0.2500 0.2500 0.7500
Al1 0.1245 0.1245 0.3755
```

Output
Formation enthalpy at 0 K in meV/atom: -5

---

TlCrTc2: relaxed, PBE.

Geometry as CIF:
```
data_TlCrTc2
_chemical_formula_sum 'Tl4 Cr4 Tc8'
_space_group_name_H-M_alt 'F m -3 m'
_space_group_IT_number 225
_space_group_name_Hall '-F 4 2 3'
_cell_length_a 6.3085
_cell_length_b 6.3085
_cell_length_c 6.3085
_cell_angle_alpha 90.00
_cell_angle_beta 90.00
_cell_angle_gamma 90.00
loop_
_atom_site_label
_atom_site_fract_x
_atom_site_fract_y
_atom_site_fract_z
Tl1 0.0000 0.0000 0.0000
Cr1 0.0000 0.0000 0.5000
Tc1 0.2500 0.2500 0.2500
```

Output
Polymorph energy (0 for the lowest one) in eV/atom: 0.2535
Formation enthalpy at 0 K in meV/atom: 684

---

V2CrI: relaxed, PBE.

Geometry as CIF:
```
data_V2CrI
_chemical_formula_sum 'V8 Cr4 I4'
_space_group_name_H-M_alt 'I -4 2 d'
_space_group_IT_number 122
_space_group_name_Hall 'I -4 2bw'
_cell_length_a 3.7942
_cell_length_b 3.7942
_cell_length_c 19.1846
_cell_angle_alpha 90.00
_cell_angle_beta 90.00
_cell_angle_gamma 90.00
loop_
_atom_site_label
_atom_site_fract_x
_atom_site_fract_y
_atom_site_fract_z
V1 0.2498 0.2500 0.1250
Cr1 0.0000 0.0000 0.0000
I1 0.0000 0.0000 0.5000
```

Output
Raw formation energy in meV/atom: 961
Polymorph energy (0 for the lowest one) in eV/atom: 0.1968

---

Ag2SbTe4As: relaxed, PBE.

Geometry as CIF:
```
data_Ag2SbTe4As
_chemical_formula_sum 'Ag2 Sb1 Te4 As1'
_space_group_name_H-M_alt 'P 1 2/m 1'
_space_group_IT_number 10
_space_group_name_Hall '-P 2y'
_cell_length_a 7.3517
_cell_length_b 4.2622
_cell_length_c 7.3985
_cell_angle_alpha 90.00
_cell_angle_beta 109.44
_cell_angle_gamma 90.00
loop_
_atom_site_label
_atom_site_fract_x
_atom_site_fract_y
_atom_site_fract_z
Ag1 0.0000 0.0000 0.0000
Ag2 0.0000 0.5000 0.5000
Sb1 0.5000 0.0000 0.5000
Te1 0.2431 0.5000 0.2382
Te2 0.2511 0.0000 0.7598
As1 0.5000 0.5000 0.0000
```

Output
Raw formation energy in meV/atom: -39

---

KTmSnO3: relaxed, PBE.

Geometry as CIF:
```
data_KTmSnO3
_chemical_formula_sum 'K2 Tm2 Sn2 O6'
_space_group_name_H-M_alt 'P 1 21/m 1'
_space_group_IT_number 11
_space_group_name_Hall '-P 2yb'
_cell_length_a 7.0036
_cell_length_b 3.4038
_cell_length_c 10.0997
_cell_angle_alpha 90.00
_cell_angle_beta 92.74
_cell_angle_gamma 90.00
loop_
_atom_site_label
_atom_site_fract_x
_atom_site_fract_y
_atom_site_fract_z
K1 0.1517 0.2500 0.1971
Tm1 0.3924 0.2500 0.8762
Sn1 0.2530 0.7500 0.6021
O1 0.1413 0.2500 0.7154
O2 0.3256 0.7500 0.0107
O3 0.4761 0.7500 0.7436
```

Output
Raw formation energy in meV/atom: -2309

---

AcOs2PbO8: relaxed, PBE.

Geometry as CIF:
```
data_AcOs2PbO8
_chemical_formula_sum 'Ac1 Os2 Pb1 O8'
_space_group_name_H-M_alt 'P -3 m 1'
_space_group_IT_number 164
_space_group_name_Hall '-P 3 2"'
_cell_length_a 6.1405
_cell_length_b 6.1405
_cell_length_c 7.4620
_cell_angle_alpha 90.00
_cell_angle_beta 90.00
_cell_angle_gamma 120.00
loop_
_atom_site_label
_atom_site_fract_x
_atom_site_fract_y
_atom_site_fract_z
Ac1 0.0000 0.0000 0.0000
Os1 0.3333 0.6667 0.3080
Pb1 0.0000 0.0000 0.5000
O1 0.1681 0.3362 0.2310
O2 0.3333 0.6667 0.5469
```

Output
Raw formation energy in meV/atom: -1295

---

CePr2DyP4: relaxed, PBE.

Geometry as CIF:
```
data_CePr2DyP4
_chemical_formula_sum 'Ce1 Pr2 Dy1 P4'
_space_group_name_H-M_alt 'P 1 2/m 1'
_space_group_IT_number 10
_space_group_name_Hall '-P 2y'
_cell_length_a 7.1271
_cell_length_b 4.1234
_cell_length_c 7.1477
_cell_angle_alpha 90.00
_cell_angle_beta 109.39
_cell_angle_gamma 90.00
loop_
_atom_site_label
_atom_site_fract_x
_atom_site_fract_y
_atom_site_fract_z
Ce1 0.0000 0.0000 0.0000
Pr1 0.0000 0.5000 0.5000
Pr2 0.5000 0.0000 0.5000
Dy1 0.5000 0.5000 0.0000
P1 0.2468 0.5000 0.2386
P2 0.2538 0.0000 0.7623
```

Output
Formation enthalpy at 0 K in meV/atom: -1539

---

KIr2Pt: relaxed, PBE.

Geometry as CIF:
```
data_KIr2Pt
_chemical_formula_sum 'K1 Ir2 Pt1'
_space_group_name_H-M_alt 'P 4 m m'
_space_group_IT_number 99
_space_group_name_Hall 'P 4 -2'
_cell_length_a 2.8047
_cell_length_b 2.8047
_cell_length_c 9.2074
_cell_angle_alpha 90.00
_cell_angle_beta 90.00
_cell_angle_gamma 90.00
loop_
_atom_site_label
_atom_site_fract_x
_atom_site_fract_y
_atom_site_fract_z
K1 0.0000 0.0000 0.0000
Ir1 0.0000 0.0000 0.5075
Ir2 0.5000 0.5000 0.6978
Pt1 0.5000 0.5000 0.2957
```

Output
Polymorph energy (0 for the lowest one) in eV/atom: 0.0000
Formation enthalpy at 0 K in meV/atom: 317

---

CdIn2Ga2Pd5: relaxed, PBE.

Geometry as CIF:
```
data_CdIn2Ga2Pd5
_chemical_formula_sum 'Cd2 In4 Ga4 Pd10'
_space_group_name_H-M_alt 'P 4/m b m'
_space_group_IT_number 127
_space_group_name_Hall '-P 4 2ab'
_cell_length_a 9.8427
_cell_length_b 9.8427
_cell_length_c 3.6339
_cell_angle_alpha 90.00
_cell_angle_beta 90.00
_cell_angle_gamma 90.00
loop_
_atom_site_label
_atom_site_fract_x
_atom_site_fract_y
_atom_site_fract_z
Cd1 0.0000 0.0000 0.0000
In1 0.1672 0.3328 0.0000
Ga1 0.1296 0.6296 0.0000
Pd1 0.0000 0.5000 0.5000
Pd2 0.1007 0.8089 0.5000
```

Output
Formation enthalpy at 0 K in meV/atom: -401

---

Copy entry 8 word for word.
KTmSnO3: relaxed, PBE.

Geometry as CIF:
```
data_KTmSnO3
_chemical_formula_sum 'K2 Tm2 Sn2 O6'
_space_group_name_H-M_alt 'P 1 21/m 1'
_space_group_IT_number 11
_space_group_name_Hall '-P 2yb'
_cell_length_a 7.0036
_cell_length_b 3.4038
_cell_length_c 10.0997
_cell_angle_alpha 90.00
_cell_angle_beta 92.74
_cell_angle_gamma 90.00
loop_
_atom_site_label
_atom_site_fract_x
_atom_site_fract_y
_atom_site_fract_z
K1 0.1517 0.2500 0.1971
Tm1 0.3924 0.2500 0.8762
Sn1 0.2530 0.7500 0.6021
O1 0.1413 0.2500 0.7154
O2 0.3256 0.7500 0.0107
O3 0.4761 0.7500 0.7436
```

Output
Raw formation energy in meV/atom: -2309